MgTeNO2 | GGA-PBE | relaxed

POSCAR file:
```
MgTeNO2
1.0
-1.811 -2.071 2.953
-0.225 -3.233 -2.406
3.677 -1.271 1.364
N O Te Mg
1 2 1 1
Direct
0.000 0.000 0.500
0.500 0.000 0.000
0.000 0.500 0.000
0.000 0.000 0.000
0.500 0.500 0.500
```

E_form (uncorrected) in eV/atom: -0.31
E_tot in eV per atom: -4.907
Magnetic moment in μB per atom: 0.000